Here is a geometry-optimized HfMoPb structure from the Alexandria database. Energies are from GGA-PBE.

abc: 4.717 3.555 7.481
angles: 90.00 102.08 90.00
Fractional coordinates of all 6 atoms:
1 Hf 0.000 0.000 0.000
2 Hf 0.356 0.000 0.637
3 Mo 0.237 0.500 0.331
4 Mo 0.877 0.500 0.689
5 Pb 0.478 0.500 0.968
6 Pb 0.757 0.000 0.367

## Properties
- E (eV per atom) = -7.979
- magnetic moment (μB/cell) = 0.0
- E_form (meV/atom) = 185
- space group = Pm, No. 6